# GGA+U Li5CoOF5, relaxed
# * E: -0.1839 hartree per atom
# * theoretical density: 2.547 g cm⁻³
data_Li5CoOF5
_chemical_formula_sum 'Li5 Co1 O1 F5'
_symmetry_space_group_name_H-M 'P 3 m 1'
_symmetry_Int_Tables_number 156
_symmetry_space_group_name_Hall 'P 3 -2"'
_cell_length_a 3.2078
_cell_length_b 3.2078
_cell_length_c 14.9707
_cell_angle_alpha 90.00
_cell_angle_beta 90.00
_cell_angle_gamma 120.00
loop_
_atom_site_label
_atom_site_fract_x
_atom_site_fract_y
_atom_site_fract_z
Li1 0.0000 0.0000 0.0000
Li2 0.0000 0.0000 0.3270
Li3 0.0000 0.0000 0.6546
Li4 0.6667 0.3333 0.1638
Li5 0.6667 0.3333 0.4906
Co1 0.6667 0.3333 0.8222
O1 0.0000 0.0000 0.7869
F1 0.0000 0.0000 0.1266
F2 0.0000 0.0000 0.4534
F3 0.6667 0.3333 0.2901
F4 0.6667 0.3333 0.6169
F5 0.6667 0.3333 0.9656


# GGA+U Li8CoO5F, relaxed
# * energy relative to the lowest polymorph listed for this composition: 0.000 eV/atom
# * theoretical density: 2.402 g cm⁻³
data_Li8CoO5F
_chemical_formula_sum 'Li16 Co2 O10 F2'
_symmetry_space_group_name_H-M 'P 1 21 1'
_symmetry_Int_Tables_number 4
_symmetry_space_group_name_Hall 'P 2yb'
_cell_length_a 5.563
_cell_length_b 10.948
_cell_length_c 5.565
_cell_angle_alpha 90.00
_cell_angle_beta 119.46
_cell_angle_gamma 90.00
loop_
_atom_site_label
_atom_site_fract_x
_atom_site_fract_y
_atom_site_fract_z
Li1 0.021 0.000 0.144
Li2 0.027 0.849 0.819
Li3 0.295 0.849 0.482
Li4 0.310 0.349 0.786
Li5 0.330 0.190 0.166
Li6 0.333 0.705 0.170
Li7 0.368 0.999 0.884
Li8 0.374 0.501 0.514
Co1 0.005 0.134 0.505
O1 0.005 0.950 0.506
O2 0.006 0.674 0.825
O3 0.320 0.172 0.820
O4 0.326 0.674 0.510
O5 0.338 0.909 0.171
F1 0.329 0.416 0.160